(1)
Below is a relaxed structure of PrSe, with properties calculated at the PBE level.

Unit cell a=4.0357 b=4.0357 c=3.9323 alpha=90.00 beta=90.00 gamma=120.00
Fractional positions:
1 Pr 0.6667 0.3333 0.7500
2 Se 0.3333 0.6667 0.2500

(2)
Below is a relaxed structure of Pr10Se19, with properties calculated at the PBE level.

Unit cell a=9.3703 b=9.3703 c=17.1101 alpha=90.00 beta=90.00 gamma=90.00
Fractional positions:
1 Pr 0.1482 0.0537 0.1058
2 Pr 0.3518 0.4463 0.1058
3 Pr 0.7500 0.2500 0.1167
4 Pr 0.9565 0.6533 0.1196
5 Pr 0.5435 0.8467 0.1196
6 Pr 0.6533 0.5435 0.3804
7 Pr 0.8467 0.9565 0.3804
8 Pr 0.2500 0.7500 0.3833
9 Pr 0.4463 0.1482 0.3942
10 Pr 0.0537 0.3518 0.3942
11 Pr 0.9463 0.6482 0.6058
12 Pr 0.5537 0.8518 0.6058
13 Pr 0.7500 0.2500 0.6167
14 Pr 0.1533 0.0435 0.6196
15 Pr 0.3467 0.4565 0.6196
16 Pr 0.4565 0.1533 0.8804
17 Pr 0.0435 0.3467 0.8804
18 Pr 0.2500 0.7500 0.8833
19 Pr 0.6482 0.5537 0.8942
20 Pr 0.8518 0.9463 0.8942
21 Se 0.4480 0.1491 0.0633
22 Se 0.0520 0.3509 0.0633
23 Se 0.2500 0.7500 0.0643
24 Se 0.6525 0.5488 0.0713
25 Se 0.8475 0.9512 0.0713
26 Se 0.4342 0.6176 0.2492
27 Se 0.0658 0.8824 0.2492
28 Se 0.9704 0.1730 0.2498
29 Se 0.5296 0.3270 0.2498
30 Se 0.7500 0.7500 0.2500
31 Se 0.1730 0.5296 0.2502
32 Se 0.3270 0.9704 0.2502
33 Se 0.6176 0.0658 0.2508
34 Se 0.8824 0.4342 0.2508
35 Se 0.9512 0.6525 0.4287
36 Se 0.5488 0.8475 0.4287
37 Se 0.7500 0.2500 0.4357
38 Se 0.1491 0.0520 0.4367
39 Se 0.3509 0.4480 0.4367
40 Se 0.6491 0.5520 0.5633
41 Se 0.8509 0.9480 0.5633
42 Se 0.2500 0.7500 0.5643
43 Se 0.4512 0.1525 0.5713
44 Se 0.0488 0.3475 0.5713
45 Se 0.1176 0.5658 0.7492
46 Se 0.3824 0.9342 0.7492
47 Se 0.6730 0.0296 0.7498
48 Se 0.8270 0.4704 0.7498
49 Se 0.2500 0.2500 0.7500
50 Se 0.4704 0.6730 0.7502
51 Se 0.0296 0.8270 0.7502
52 Se 0.9342 0.1176 0.7508
53 Se 0.5658 0.3824 0.7508
54 Se 0.1525 0.0488 0.9287
55 Se 0.3475 0.4512 0.9287
56 Se 0.7500 0.2500 0.9357
57 Se 0.9480 0.6491 0.9367
58 Se 0.5520 0.8509 0.9367

Number 1: total energy -5.869 eV per atom. Number 2: total energy -5.623 eV per atom.